No. 1
Density functional theory data (GGA-PBE) for a geometry-optimized CsMgHCl2 structure.

Electronic total energy = -3.22 eV/atom
Space-group type = P4/mmm, No. 123

a = 5.3782 Å, b = 5.3782 Å, c = 4.0963 Å
α = 90.00°, β = 90.00°, γ = 90.00°
Fractional positions:
Cs (0.5000, 0.5000, 0.5000)
H (0.0000, 0.0000, 0.5000)
Mg (0.0000, 0.0000, 0.0000)
Cl (0.0000, 0.5000, 0.0000)
Cl (0.5000, 0.0000, 0.0000)

=====

No. 2
Density functional theory data (GGA-PBE) for a geometry-optimized Cs2MgHCl structure.

Electronic total energy = -2.23 eV/atom
Space-group type = P4/mmm, No. 123

a = 6.1044 Å, b = 4.7106 Å, c = 6.1044 Å
α = 90.00°, β = 90.00°, γ = 90.00°
Fractional positions:
Cs (0.0000, 0.0000, 0.5000)
Cs (0.5000, 0.0000, 0.0000)
H (0.0000, 0.0000, 0.0000)
Mg (0.0000, 0.5000, 0.0000)
Cl (0.5000, 0.5000, 0.5000)

=====

No. 3
Density functional theory data (GGA-PBE) for a geometry-optimized CsMgH12Cl3O6 structure.

Electronic total energy = -4.66 eV/atom
Space-group type = P1, No. 1

a = 6.8177 Å, b = 6.8185 Å, c = 13.6252 Å
α = 89.82°, β = 90.14°, γ = 89.36°
Fractional positions:
Cs (0.9856, 0.9803, 0.9996)
Cs (0.0257, 0.0209, 0.4995)
Mg (0.5058, 0.4998, 0.7487)
Mg (0.5060, 0.5013, 0.2486)
H (0.8399, 0.7356, 0.7258)
H (0.8431, 0.5662, 0.6474)
H (0.2656, 0.5578, 0.5816)
H (0.4478, 0.6995, 0.5754)
H (0.5623, 0.1598, 0.6296)
H (0.7129, 0.1581, 0.7177)
H (0.4493, 0.8392, 0.8681)
H (0.2977, 0.8410, 0.7805)
H (0.5640, 0.3008, 0.9222)
H (0.7460, 0.4427, 0.9158)
H (0.1685, 0.4340, 0.8500)
H (0.1718, 0.2637, 0.7721)
H (0.8481, 0.2943, 0.2179)
H (0.8461, 0.4446, 0.1297)
H (0.5627, 0.2616, 0.4160)
H (0.7045, 0.4435, 0.4224)
H (0.4485, 0.7403, 0.0813)
H (0.3069, 0.5581, 0.0751)
H (0.1662, 0.5573, 0.3679)
H (0.1643, 0.7090, 0.2802)
H (0.7415, 0.8354, 0.2718)
H (0.5710, 0.8388, 0.3496)
H (0.4406, 0.1633, 0.1478)
H (0.2709, 0.1666, 0.2260)
Cl (0.4900, 0.0163, 0.0029)
Cl (0.5211, 0.9848, 0.4948)
Cl (0.0219, 0.4847, 0.9949)
Cl (0.9897, 0.5165, 0.5027)
Cl (0.0053, 0.9997, 0.7495)
Cl (0.0062, 0.0015, 0.2495)
O (0.7760, 0.6117, 0.7073)
O (0.3926, 0.5892, 0.6126)
O (0.5973, 0.2278, 0.6909)
O (0.4140, 0.7715, 0.8068)
O (0.6192, 0.4109, 0.8847)
O (0.2355, 0.3880, 0.7901)
O (0.7784, 0.4100, 0.1912)
O (0.5941, 0.3886, 0.3851)
O (0.4174, 0.6132, 0.1123)
O (0.2338, 0.5926, 0.3064)
O (0.6170, 0.7720, 0.2897)
O (0.3950, 0.2304, 0.2077)

=====

No. 4
Density functional theory data (GGA-PBE) for a geometry-optimized Cs2MnH2Cl6 structure.

Electronic total energy = -3.79 eV/atom
Space-group type = C2/m, No. 12

a = 7.5720 Å, b = 7.1145 Å, c = 8.5344 Å
α = 121.21°, β = 90.00°, γ = 122.15°
Last column: magnetic moment on the atom in μB.
Fractional positions:
Cs (0.7451, 0.4902, 0.2357)  0.00
Cs (0.2549, 0.5098, 0.7643)  0.00
Mn (0.5000, 0.0000, 0.5000)  4.41
H (0.8788, 0.7575, 0.7568)  0.00
H (0.1212, 0.2425, 0.2432)  0.00
Cl (0.8006, 0.6011, 0.8151)  0.02
Cl (0.2869, 0.0301, 0.3087)  0.04
Cl (0.2567, 0.9699, 0.6913)  0.04
Cl (0.7131, 0.9699, 0.6913)  0.04
Cl (0.7433, 0.0301, 0.3087)  0.04
Cl (0.1994, 0.3989, 0.1849)  0.02